5
Lattice="6.712 0.000 0.000 0.000 6.712 0.000 0.000 0.000 5.204" Properties=species:S:1:pos:R:3 comment="PBE RbSnI2N, optimized geometry" sg="P4/mmm, No. 123" de_polymorph_mev_per_atom=968 raw_formation_energy_ev_per_fu=4.22 pbc="T T T"
Rb 0.000 0.000 0.000
Sn 3.356 3.356 2.602
I 0.000 3.356 0.000
I 3.356 0.000 0.000
N 0.000 0.000 2.602

***

20
Lattice="-5.239 5.482 2.724 5.239 -5.482 2.724 5.239 5.482 -2.724" Properties=species:S:1:pos:R:3 comment="PBE Mg2Si5Rh3, optimized geometry" sg="Ibam, No. 72" raw_formation_energy_ev_per_fu=-5.10 pbc="T T T"
Mg 1.380 2.742 0.000
Mg 6.620 2.739 0.000
Mg -1.380 2.742 2.724
Mg 3.859 2.739 2.724
Si 3.987 1.555 0.000
Si 7.856 0.000 1.362
Si 0.000 0.000 1.362
Si 2.623 0.000 1.362
Si 3.987 -1.555 2.724
Si 1.252 7.036 0.000
Si -2.616 5.482 1.362
Si 2.616 5.482 1.362
Si 0.000 0.000 4.085
Si 1.252 3.927 2.724
Rh 3.984 -3.960 2.724
Rh 5.239 0.000 1.362
Rh 3.984 3.960 0.000
Rh 1.256 1.521 2.724
Rh 0.000 5.482 1.362
Rh 1.256 9.442 0.000

***

4
Lattice="5.009 0.000 0.000 0.000 5.009 0.000 0.000 0.000 3.394" Properties=species:S:1:pos:R:3 comment="PBE LaScPt2, optimized geometry" sg="P4/mmm, No. 123" formation_enthalpy_0k_mev_per_atom=-1055 pbc="T T T"
La 0.000 0.000 0.000
Sc 2.505 2.505 0.000
Pt 0.000 2.505 1.697
Pt 2.505 0.000 1.697

***

6
Lattice="0.000 3.502 3.502 3.502 0.000 3.502 3.502 3.502 0.000" Properties=species:S:1:pos:R:3 comment="PBE LiSi4Ni, optimized geometry" sg="F-43m, No. 216" raw_formation_energy_ev_per_fu=1.69 pbc="T T T"
Li 0.000 0.000 0.000
Si 2.625 2.625 2.625
Si 4.378 4.378 2.625
Si 4.378 2.625 4.378
Si 2.625 4.378 4.378
Ni 5.252 5.252 5.252

***

5
Lattice="7.104 0.000 0.000 0.000 7.104 0.000 0.000 0.000 4.825" Properties=species:S:1:pos:R:3 comment="PBE Cs2AgAsI, optimized geometry" sg="P4/mmm, No. 123" raw_formation_energy_ev_per_fu=-2.87 pbc="T T T"
Cs 0.000 3.552 0.000
Cs 3.552 0.000 0.000
Ag 0.000 0.000 2.412
As 0.000 0.000 0.000
I 3.552 3.552 2.412

***

20
Lattice="-4.960 6.400 2.921 4.960 -6.400 2.921 4.960 6.400 -2.921" Properties=species:S:1:pos:R:3 comment="PBE Ce2Tc3Ge5, optimized geometry" sg="Ibam, No. 72" formation_enthalpy_0k_mev_per_atom=-509 pbc="T T T"
Ce 2.318 1.755 0.000
Ce 2.318 -1.755 2.921
Ce 2.642 8.154 0.000
Ce 2.642 4.645 2.921
Tc 4.105 -4.474 2.921
Tc 4.960 0.000 1.460
Tc 4.105 4.474 0.000
Tc 0.855 1.926 2.921
Tc 0.000 6.400 1.460
Tc 0.855 10.873 0.000
Ge 4.960 -2.622 1.460
Ge 6.740 1.129 0.000
Ge 0.000 0.000 1.460
Ge 1.780 5.271 0.000
Ge 4.960 2.622 1.460
Ge 0.000 3.778 1.460
Ge 3.180 1.129 2.921
Ge 0.000 0.000 4.381
Ge -1.780 5.271 2.921
Ge 0.000 9.021 1.460

***

14
Lattice="-4.995 4.995 4.889 4.995 -4.995 4.889 4.995 4.995 -4.889" Properties=species:S:1:pos:R:3 comment="PBE Nd4SnSb2, optimized geometry" sg="I4_1/amd, No. 141" de_polymorph_mev_per_atom=164 raw_formation_energy_ev_per_fu=-5.56 pbc="T T T"
Nd 3.120 2.497 -0.575
Nd 6.870 2.497 -0.575
Nd 0.000 0.623 1.869
Nd 4.995 0.623 3.020
Nd 0.000 4.372 1.869
Nd 4.995 4.372 3.020
Nd -1.875 2.497 5.464
Nd 1.875 2.497 5.464
Sn 4.995 -2.497 3.667
Sn 0.000 7.492 1.222
Sb 4.995 0.000 0.000
Sb -2.497 2.497 2.445
Sb 0.000 0.000 4.889
Sb 2.497 2.497 2.445

***

4
Lattice="1.447 0.836 10.471 -1.447 0.836 10.471 0.000 -1.671 10.471" Properties=species:S:1:pos:R:3 comment="PBE SrCdRe2, optimized geometry" sg="R-3m, No. 166" formation_enthalpy_0k_mev_per_atom=1098 pbc="T T T"
Sr 0.000 0.000 0.000
Cd 0.000 0.000 15.707
Re 0.000 0.000 7.661
Re 0.000 0.000 23.754

***

5
Lattice="-1.878 1.878 7.054 1.878 -1.878 7.054 1.878 1.878 -7.054" Properties=species:S:1:pos:R:3 comment="PBE RbCo2Si2, optimized geometry" sg="I4/mmm, No. 139" raw_formation_energy_ev_per_fu=0.68 pbc="T T T"
Rb 0.000 0.000 0.000
Co 0.000 0.000 4.789
Co 0.000 0.000 9.320
Si 1.878 0.000 3.527
Si 0.000 1.878 3.527

***

5
Lattice="5.457 0.000 0.000 0.000 5.457 0.000 0.000 0.000 4.096" Properties=species:S:1:pos:R:3 comment="PBE La2AlBiC, optimized geometry" sg="P4/mmm, No. 123" formation_enthalpy_0k_mev_per_atom=-423 pbc="T T T"
La 0.000 2.729 0.000
La 2.729 0.000 0.000
Al 0.000 0.000 2.048
Bi 2.729 2.729 2.048
C 0.000 0.000 0.000

***

10
Lattice="-4.088 4.088 5.770 4.088 -4.088 5.770 4.088 4.088 -5.770" Properties=species:S:1:pos:R:3 comment="PBE Cs2MgRhI6, optimized geometry" sg="I4/mmm, No. 139" raw_formation_energy_ev_per_fu=-8.69 pbc="T T T"
Cs 4.088 0.000 2.885
Cs 0.000 4.088 2.885
Mg 0.000 0.000 0.000
Rh 0.000 0.000 5.770
I 0.000 0.000 2.988
I 2.120 2.120 0.000
I 1.968 -1.968 5.770
I -1.968 1.968 5.770
I 0.000 0.000 8.551
I 1.968 1.968 5.770

***

28
Lattice="5.969 0.000 0.000 0.010 6.921 0.000 0.088 3.409 13.471" Properties=species:S:1:pos:R:3 comment="PBE TiCrAgS4, optimized geometry" sg="P1, No. 1" de_polymorph_mev_per_atom=0 raw_formation_energy_ev_per_fu=-5.75 pbc="T T T"
Ti 0.000 0.000 0.000
Ti 0.113 6.872 13.426
Ti 2.480 6.781 6.757
Ti 5.231 1.988 6.832
Cr 2.377 3.490 6.779
Cr 3.374 5.135 13.436
Cr 3.383 8.607 13.441
Cr 5.313 5.238 6.767
Ag 0.412 6.871 10.451
Ag 2.285 3.419 10.074
Ag 2.273 3.253 3.609
Ag 2.455 6.982 3.660
S 0.360 6.975 8.044
S 0.387 3.577 8.166
S 1.357 5.083 12.112
S 1.319 5.184 5.378
S 1.365 8.650 12.119
S 1.347 1.769 5.460
S 2.239 3.462 1.206
S 2.244 6.922 1.236
S 3.316 8.690 8.192
S 3.396 5.192 8.205
S 4.219 6.871 11.984
S 4.254 3.407 11.989
S 4.321 3.554 5.348
S 4.419 6.984 5.390
S 5.184 1.745 1.415
S 5.189 5.177 1.417

***

| no. | magnetization (μB per formula unit) |
| --- | --- |
| 1 | 3.3 |
| 2 | 0.0 |
| 3 | 0.0 |
| 4 | 0.0 |
| 5 | 0.0 |
| 6 | 0.0 |
| 7 | 0.0 |
| 8 | 0.0 |
| 9 | 0.0 |
| 10 | 0.0 |
| 11 | 0.0 |
| 12 | 3.0 |